Entry from the Alexandria database: a relaxed structure of SrSi2Pb (GGA-PBEsol).

a b c (Å): 4.3283 4.3405 5.9662
angles (deg): 90.00 90.00 90.00
Element x y z (fractional)
Sr (0.0000, 0.0000, 0.0000)
Si (0.5000, 0.5000, 0.1875)
Si (0.5000, 0.5000, 0.8125)
Pb (0.5000, 0.0000, 0.5000)

## Properties
density: 5.200 g/cm³
ΔE_f (raw): 18 kJ/mol of formula units


Entry from the Alexandria database: a relaxed structure of SrSiPb2 (GGA-PBEsol).

a b c (Å): 5.9749 5.9749 5.3544
angles (deg): 114.02 114.02 40.98
Element x y z (fractional)
Sr (0.0000, 0.0000, 0.0000)
Si (0.2727, 0.2727, 0.6518)
Pb (0.5791, 0.5791, 0.5793)
Pb (0.7790, 0.7790, 0.2821)

## Properties
density: 7.797 g/cm³
ΔE_f (raw): -57 kJ/mol of formula units


Entry from the Alexandria database: a relaxed structure of SrSi2Pb (GGA-PBEsol).

a b c (Å): 4.5635 4.5635 4.4160
angles (deg): 90.00 90.00 90.00
Element x y z (fractional)
Sr (0.0000, 0.0000, 0.0000)
Si (0.0000, 0.5000, 0.5000)
Si (0.5000, 0.0000, 0.5000)
Pb (0.5000, 0.5000, 0.0000)

## Properties
density: 6.338 g/cm³
ΔE_f (raw): 12 kJ/mol of formula units


Entry from the Alexandria database: a relaxed structure of Sr2SiPb (GGA-PBEsol).

a b c (Å): 3.5414 4.4096 7.4027
angles (deg): 90.00 90.00 90.00
Element x y z (fractional)
Sr (0.0000, 0.0000, 0.2282)
Sr (0.0000, 0.0000, 0.7718)
Si (0.5000, 0.5000, 0.0000)
Pb (0.5000, 0.5000, 0.5000)

## Properties
excess energy over the best structure of this formula in the dataset: 0.00 eV per formula unit
density: 5.897 g/cm³
ΔE_f (raw): -136 kJ/mol of formula units


Entry from the Alexandria database: a relaxed structure of SrSiPb2 (GGA-PBEsol).

a b c (Å): 3.9160 3.9160 7.0686
angles (deg): 90.00 90.00 90.00
Element x y z (fractional)
Sr (0.0000, 0.0000, 0.0000)
Si (0.0000, 0.0000, 0.5000)
Pb (0.5000, 0.5000, 0.2911)
Pb (0.5000, 0.5000, 0.7089)

## Properties
density: 8.121 g/cm³
ΔE_f (raw): -14 kJ/mol of formula units


Entry from the Alexandria database: a relaxed structure of Sr2SiPb (GGA-PBEsol).

a b c (Å): 6.3623 6.3623 6.3623
angles (deg): 136.94 136.94 62.54
Element x y z (fractional)
Sr (0.0000, 0.0000, 0.0000)
Sr (0.7500, 0.2500, 0.5000)
Si (0.2500, 0.7500, 0.5000)
Pb (0.5000, 0.5000, 0.0000)

## Properties
excess energy over the best structure of this formula in the dataset: 0.74 eV per formula unit
density: 5.747 g/cm³
ΔE_f (raw): -65 kJ/mol of formula units


Entry from the Alexandria database: a relaxed structure of SrSiPb2 (GGA-PBEsol).

a b c (Å): 5.4009 5.4009 5.4009
angles (deg): 60.00 60.00 60.00
Element x y z (fractional)
Sr (0.0000, 0.0000, 0.0000)
Si (0.2500, 0.2500, 0.2500)
Pb (0.5000, 0.5000, 0.5000)
Pb (0.7500, 0.7500, 0.7500)

## Properties
density: 7.902 g/cm³
ΔE_f (raw): 5 kJ/mol of formula units


Entry from the Alexandria database: a relaxed structure of Sr2SiPb (GGA-PBEsol).

a b c (Å): 5.5223 5.5223 5.5223
angles (deg): 60.00 60.00 60.00
Element x y z (fractional)
Sr (0.2500, 0.2500, 0.2500)
Sr (0.7500, 0.7500, 0.7500)
Si (0.0000, 0.0000, 0.0000)
Pb (0.5000, 0.5000, 0.5000)

## Properties
excess energy over the best structure of this formula in the dataset: 0.17 eV per formula unit
density: 5.724 g/cm³
ΔE_f (raw): -119 kJ/mol of formula units


Entry from the Alexandria database: a relaxed structure of TaSiPb2 (GGA-PBEsol).

a b c (Å): 3.3195 3.4499 7.9632
angles (deg): 90.00 90.00 90.00
Element x y z (fractional)
Ta (0.0000, 0.0000, 0.0000)
Si (0.5000, 0.5000, 0.8837)
Pb (0.0000, 0.0000, 0.6151)
Pb (0.5000, 0.5000, 0.2637)

## Properties
density: 11.352 g/cm³
ΔE_f (raw): 66 kJ/mol of formula units


Entry from the Alexandria database: a relaxed structure of TaSiPb2 (GGA-PBEsol).

a b c (Å): 3.5866 4.8693 4.8863
angles (deg): 90.00 90.00 90.00
Element x y z (fractional)
Ta (0.0000, 0.0000, 0.0000)
Si (0.5000, 0.5000, 0.0000)
Pb (0.0000, 0.5000, 0.5000)
Pb (0.5000, 0.0000, 0.5000)

## Properties
density: 12.131 g/cm³
ΔE_f (raw): 276 kJ/mol of formula units


Entry from the Alexandria database: a relaxed structure of TaSiPb2 (GGA-PBEsol).

a b c (Å): 7.8586 7.8586 7.8586
angles (deg): 155.32 152.20 37.51
Element x y z (fractional)
Ta (0.0000, 0.0000, 0.0000)
Si (0.5000, 0.5000, 0.0000)
Pb (0.1742, 0.6742, 0.5000)
Pb (0.8258, 0.3258, 0.5000)

## Properties
density: 10.968 g/cm³
ΔE_f (raw): 79 kJ/mol of formula units


Entry from the Alexandria database: a relaxed structure of Ta2SiPb (GGA-PBEsol).

a b c (Å): 4.8699 4.8699 4.9254
angles (deg): 96.88 96.88 39.98
Element x y z (fractional)
Ta (0.2479, 0.2479, 0.2804)
Ta (0.7521, 0.7521, 0.7196)
Si (0.0000, 0.0000, 0.5000)
Pb (0.5000, 0.5000, 0.0000)

## Properties
excess energy over the best structure of this formula in the dataset: 0.45 eV per formula unit
density: 13.321 g/cm³
ΔE_f (raw): 119 kJ/mol of formula units


Q: What is the ΔE_f (raw) in the seventh record?
A: 5 kJ/mol of formula units